(1)
The following is a DFT calculation (PBE) of a relaxed structure of AcNF2.

space group	P-1 (2)
Fermi-level density of states	0.68	states/eV/f.u.

Cell lengths 3.971, 6.626, 7.704 Å; angles 127.80, 98.88, 89.55 degrees
Each line ends with the local moment (μB).
Fractional coordinates of all 8 atoms:
Ac1 0.228 0.729 0.390  0.03
Ac2 0.828 0.457 0.714  0.03
N1 0.672 0.632 0.114  0.25
N2 0.384 0.554 0.990  0.25
F1 0.731 0.472 0.388  0.00
F2 0.254 0.160 0.469  0.01
F3 0.325 0.714 0.716  0.00
F4 0.802 0.026 0.635  0.01


(2)
The following is a DFT calculation (PBE) of a relaxed structure of AcN2F4.

space group	C2/m (12)
Fermi-level density of states	0.37	states/eV/f.u.

Cell lengths 4.079, 4.735, 7.169 Å; angles 109.29, 94.57, 90.00 degrees
Each line ends with the local moment (μB).
Fractional coordinates of all 7 atoms:
Ac1 0.000 0.000 0.000  0.01
N1 0.244 0.296 0.591  1.67
N2 0.756 0.704 0.409  1.67
F1 0.933 0.584 0.167  0.02
F2 0.067 0.416 0.833  0.02
F3 0.480 0.899 0.799  0.03
F4 0.520 0.101 0.201  0.03


(3)
The following is a DFT calculation (PBE) of a relaxed structure of Ac3N2F.

space group	Cmcm (63)
Fermi-level density of states	2.78	states/eV/f.u.

Cell lengths 3.833, 7.460, 11.452 Å; angles 90.00, 90.00, 104.89 degrees
Fractional coordinates of all 12 atoms:
Ac1 0.602 0.205 0.086
Ac2 0.105 0.211 0.750
Ac3 0.602 0.205 0.414
Ac4 0.895 0.789 0.250
Ac5 0.398 0.795 0.914
Ac6 0.398 0.795 0.586
N1 0.000 0.000 0.000
N2 0.000 0.000 0.500
N3 0.491 0.982 0.250
N4 0.509 0.018 0.750
F1 0.159 0.318 0.250
F2 0.841 0.682 0.750


(4)
The following is a DFT calculation (PBE) of a relaxed structure of Ac4N3F.

space group	Cmmm (65)
Fermi-level density of states	2.63	states/eV/f.u.

Cell lengths 3.881, 6.745, 6.745 Å; angles 71.20, 90.00, 90.00 degrees
Fractional coordinates of all 8 atoms:
Ac1 0.000 0.766 0.734
Ac2 0.500 0.755 0.255
Ac3 0.000 0.234 0.266
Ac4 0.500 0.245 0.745
F1 0.500 0.500 0.000
N1 0.500 0.000 0.500
N2 0.000 0.000 0.000
N3 0.000 0.500 0.500


(5)
The following is a DFT calculation (PBE) of a relaxed structure of AcN2F3.

space group	C2/c (15)
Fermi-level density of states	0.00	states/eV/f.u.

Cell lengths 4.890, 8.112, 7.475 Å; angles 105.74, 109.10, 90.00 degrees
Each line ends with the local moment (μB).
Fractional coordinates of all 12 atoms:
Ac1 0.004 0.250 0.000  0.00
Ac2 0.996 0.750 0.000  0.00
N1 0.284 0.392 0.568  1.94
N2 0.284 0.892 0.568  1.94
N3 0.716 0.108 0.432  1.94
N4 0.716 0.608 0.432  1.94
F1 0.496 0.750 0.000  0.01
F2 0.504 0.250 0.000  0.01
F3 0.899 0.949 0.798  0.04
F4 0.101 0.551 0.202  0.04
F5 0.899 0.449 0.798  0.04
F6 0.101 0.051 0.202  0.04


(6)
The following is a DFT calculation (PBE) of a relaxed structure of Ac5N4F.

space group	C2/m (12)
Fermi-level density of states	2.58	states/eV/f.u.

Cell lengths 3.897, 6.759, 8.735 Å; angles 75.57, 77.11, 73.25 degrees
Fractional coordinates of all 10 atoms:
Ac1 0.206 0.899 0.688
Ac2 0.794 0.101 0.312
Ac3 0.395 0.321 0.889
Ac4 0.000 0.500 0.500
Ac5 0.605 0.679 0.111
N1 0.607 0.189 0.597
N2 0.196 0.419 0.188
N3 0.804 0.581 0.812
N4 0.393 0.811 0.403
F1 0.000 0.000 0.000


(7)
The following is a DFT calculation (PBE) of a relaxed structure of NaAcNF.

space group	R3m (160)
E above lowest polymorph	0.000	eV per atom

Cell lengths 3.877, 3.877, 6.350 Å; angles 72.23, 72.23, 60.00 degrees
Fractional coordinates of all 4 atoms:
Na1 0.440 0.440 0.681
Ac1 0.958 0.958 0.126
N1 0.683 0.683 0.950
F1 0.196 0.196 0.413


(8)
The following is a DFT calculation (PBE) of a relaxed structure of NaAcNF.

space group	F-43m (216)
Fermi-level density of states	0.00	states/eV/f.u.
E above lowest polymorph	0.129	eV per atom

Cell lengths 4.446, 4.446, 4.446 Å; angles 60.00, 60.00, 60.00 degrees
Fractional coordinates of all 4 atoms:
Na1 0.750 0.750 0.750
Ac1 0.250 0.250 0.250
N1 0.500 0.500 0.500
F1 0.000 0.000 0.000


(9)
The following is a DFT calculation (PBE) of a relaxed structure of AcNpN2F.

space group	P4/nmm (129)
Fermi-level density of states	3.09	states/eV/f.u.

Cell lengths 3.710, 3.710, 11.524 Å; angles 90.00, 90.00, 90.00 degrees
Each line ends with the local moment (μB).
Fractional coordinates of all 10 atoms:
Ac1 0.500 0.000 0.659  0.01
Ac2 0.000 0.500 0.341  0.01
Np1 0.500 0.000 0.097  2.86
Np2 0.000 0.500 0.903  2.86
N1 0.000 0.500 0.728  -0.10
N2 0.000 0.500 0.093  -0.14
N3 0.500 0.000 0.907  -0.14
N4 0.500 0.000 0.272  -0.10
F1 0.000 0.000 0.500  0.00
F2 0.500 0.500 0.500  0.00


(10)
The following is a DFT calculation (PBE) of a relaxed structure of Ac2PN4F2.

space group	I4/mmm (139)
Fermi-level density of states	2.60	states/eV/f.u.

Cell lengths 5.681, 5.681, 5.681 Å; angles 87.51, 121.45, 121.45 degrees
Each line ends with the local moment (μB).
Fractional coordinates of all 9 atoms:
Ac1 0.500 0.750 0.250  0.02
Ac2 0.500 0.250 0.750  0.02
P1 0.000 0.000 0.000  0.00
N1 0.000 0.789 0.211  0.17
N2 0.578 0.789 0.789  0.17
N3 0.000 0.211 0.789  0.17
N4 0.422 0.211 0.211  0.17
F1 0.000 0.727 0.727  0.00
F2 0.000 0.273 0.273  0.00


(11)
The following is a DFT calculation (PBE) of a relaxed structure of AcPN3F.

space group	C2/c (15)

Cell lengths 4.855, 7.145, 6.266 Å; angles 55.24, 81.23, 74.48 degrees
Fractional coordinates of all 12 atoms:
Ac1 0.250 0.336 0.328
Ac2 0.750 0.664 0.672
P1 0.750 0.022 0.955
P2 0.250 0.978 0.045
N1 0.503 0.914 0.868
N2 0.997 0.218 0.868
N3 0.750 0.177 0.647
N4 0.497 0.086 0.132
N5 0.003 0.782 0.132
N6 0.250 0.823 0.353
F1 0.250 0.571 0.858
F2 0.750 0.429 0.142


(12)
The following is a DFT calculation (PBE) of a relaxed structure of AcPuN2F.

space group	P4/nmm (129)
Fermi-level density of states	6.16	states/eV/f.u.

Cell lengths 3.710, 3.710, 11.628 Å; angles 90.00, 90.00, 90.00 degrees
Each line ends with the local moment (μB).
Fractional coordinates of all 10 atoms:
Ac1 0.500 0.000 0.658  0.00
Ac2 0.000 0.500 0.342  0.00
Pu1 0.500 0.000 0.099  4.26
Pu2 0.000 0.500 0.901  4.26
N1 0.000 0.500 0.726  -0.15
N2 0.000 0.500 0.090  -0.22
N3 0.500 0.000 0.910  -0.22
N4 0.500 0.000 0.274  -0.15
F1 0.000 0.000 0.500  0.00
F2 0.500 0.500 0.500  0.00


The following energy relative to the elements, uncorrected values (in kJ/mol of formula units) correspond, in order, to the records above: -1118 -651 -878 -1145 -539 -1380 -673 -623 -944 -1022 -543 -949.
The following E_tot values (in eV/atom) correspond, in order, to the records above: -6.940 -4.999 -6.658 -6.894 -5.326 -7.002 -5.650 -5.521 -9.072 -6.807 -6.999 -9.359.